{"formula": "MnTl2Zn", "functional": "meta-GGA SCAN", "state": "single point on PBEsol structure", "sg": "No. 166", "delta_e_f_ev_per_atom": 0.248, "lattice": [[1.6409, 0.9474, 8.7665], [-1.6409, 0.9474, 8.7665], [0.0000, -1.8947, 8.7665]], "species": ["Mn", "Tl", "Tl", "Zn"], "frac_coords": [[0.0000, 0.0000, 0.0000], [0.2509, 0.2509, 0.2509], [0.7491, 0.7491, 0.7491], [0.5000, 0.5000, 0.5000]]}